1.
! TbSc3Ga2 | Alexandria via LeMat-Bulk | PBE-GGA | optimized geometry; values from VASP
! - crystal system = monoclinic
! - total magnetic moment (Bohr magnetons per cell) = 0.000
! - total DFT energy (no corrections) (eV/cell) = -64.192
! - ΔE_f (kJ/mol of atoms) = -38.9
! - V (A^3/atom) = 23.10
! - polymorph energy (0 for the lowest one) (eV/atom) = 0.053
&SYSTEM
  ibrav = 0, nat = 12, ntyp = 3
/
ATOMIC_SPECIES
Tb 158.93 Tb.upf
Sc 44.96 Sc.upf
Ga 69.72 Ga.upf
ATOMIC_POSITIONS angstrom
Tb 2.213 2.565 6.406
Tb 0.000 1.578 0.860
Sc 0.000 3.302 3.730
Sc 0.000 -2.810 5.182
Sc 2.213 -0.778 6.525
Sc 0.000 4.922 0.741
Sc 2.213 6.954 2.084
Sc 2.213 0.841 3.536
Ga 2.213 -3.599 6.627
Ga 0.000 7.743 0.638
Ga 2.213 3.687 2.008
Ga 0.000 0.456 5.258
CELL_PARAMETERS angstrom
4.425 0.000 0.000
-2.213 8.349 -0.474
0.000 -4.205 7.740


2.
! TbSc2Ga | Alexandria via LeMat-Bulk | PBE-GGA | optimized geometry; values from VASP
! - crystal system = orthorhombic
! - total magnetic moment (Bohr magnetons per cell) = 0.000
! - total DFT energy (no corrections) (eV/cell) = -42.905
! - ΔE_f (kJ/mol of atoms) = -27.3
! - V (A^3/atom) = 24.57
! - polymorph energy (0 for the lowest one) (eV/atom) = 0.008
&SYSTEM
  ibrav = 0, nat = 8, ntyp = 3
/
ATOMIC_SPECIES
Tb 158.93 Tb.upf
Sc 44.96 Sc.upf
Ga 69.72 Ga.upf
ATOMIC_POSITIONS angstrom
Tb 2.149 5.004 2.011
Tb 0.000 0.684 6.032
Sc 0.000 4.069 4.463
Sc 2.149 1.619 3.579
Sc 0.000 4.069 7.600
Sc 2.149 1.619 0.442
Ga 2.149 3.060 6.032
Ga 0.000 2.628 2.011
CELL_PARAMETERS angstrom
4.298 0.000 0.000
-2.148 5.688 0.000
0.000 0.000 8.042


Look up the total magnetic moment of the second one.
0.000 Bohr magnetons per cell


Which of these has the lowest polymorph energy (0 for the lowest one)?
TbSc2Ga